{"formula": "ZrCoSi2", "functional": "GGA-PBE", "state": "relaxed", "final_energy_ev_per_atom": -6.7243, "space_group": "Fm-3m", "formation_energy_uncorrected_ev_per_atom": -0.10, "cell": [[0.000, 3.093, 3.093], [3.093, 0.000, 3.093], [3.093, 3.093, 0.000]], "species": ["Zr", "Co", "Si", "Si"], "fractional_positions": [[0.000, 0.000, 0.000], [0.500, 0.500, 0.500], [0.250, 0.250, 0.250], [0.750, 0.750, 0.750]]}